{
  "formula": "LaSm5Ho",
  "functional": "PBE",
  "state": "optimized geometry",
  "lattice_angstrom": [[8.788, 4.719, 3.115], [9.992, 13.144, 4.446], [3.084, 2.643, 4.821]],
  "species": ["La", "Sm", "Sm", "Sm", "Sm", "Sm", "Ho"],
  "fractional_positions": [[0.000, 0.000, 0.000], [0.500, 0.000, 0.000], [0.364, 0.728, 0.651], [0.799, 0.728, 0.652], [0.201, 0.272, 0.348], [0.635, 0.272, 0.349], [0.501, 0.500, 0.498]],
  "n_ef_per_ev_fu": 9.3,
  "relative_energy_ev_per_atom": 0.000,
  "m_tot_mub_per_fu": 0.00,
  "sg": "P1",
  "formation_enthalpy_0k_ev_per_atom": 0.200
}

=====

{
  "formula": "La6SmHo3",
  "functional": "PBE",
  "state": "optimized geometry",
  "lattice_angstrom": [[6.518, 0.000, 0.000], [0.000, 11.063, -1.875], [0.000, -4.296, 10.365]],
  "species": ["Ho", "Ho", "Ho", "Ho", "Ho", "Ho", "La", "La", "La", "La", "La", "La", "La", "La", "La", "La", "La", "La", "Sm", "Sm"],
  "fractional_positions": [[0.470, 0.289, 0.053], [0.591, 0.614, 0.386], [0.091, 0.386, 0.614], [0.470, 0.947, 0.711], [0.970, 0.711, 0.947], [0.970, 0.053, 0.289], [0.050, 0.366, 0.286], [0.364, 0.510, 0.929], [0.364, 0.071, 0.490], [0.167, 0.713, 0.287], [0.864, 0.490, 0.071], [0.667, 0.287, 0.713], [0.864, 0.929, 0.510], [0.050, 0.714, 0.634], [0.550, 0.286, 0.366], [0.868, 0.030, 0.970], [0.368, 0.970, 0.030], [0.550, 0.634, 0.714], [0.091, 0.187, 0.813], [0.591, 0.813, 0.187]],
  "n_ef_per_ev_fu": 14.7,
  "relative_energy_ev_per_atom": 0.000,
  "m_tot_mub_per_fu": 0.00,
  "sg": "Cmc2_1",
  "formation_enthalpy_0k_ev_per_atom": 0.125
}

=====

{
  "formula": "La2Sm5Ho",
  "functional": "PBE",
  "state": "optimized geometry",
  "lattice_angstrom": [[-0.767, -5.521, -1.306], [6.345, 2.000, 0.364], [0.285, -3.781, 15.819]],
  "species": ["Sm", "Sm", "Sm", "Sm", "Sm", "Sm", "Sm", "Sm", "Sm", "Sm", "La", "La", "La", "La", "Ho", "Ho"],
  "fractional_positions": [[0.617, 0.233, 0.949], [0.463, 0.925, 0.750], [0.921, 0.842, 0.909], [0.383, 0.767, 0.051], [0.537, 0.075, 0.250], [0.921, 0.842, 0.591], [0.079, 0.158, 0.409], [0.079, 0.158, 0.091], [0.383, 0.767, 0.449], [0.617, 0.233, 0.551], [0.781, 0.563, 0.370], [0.219, 0.437, 0.630], [0.781, 0.563, 0.130], [0.219, 0.437, 0.870], [0.741, 0.482, 0.750], [0.259, 0.518, 0.250]],
  "n_ef_per_ev_fu": 13.0,
  "m_tot_mub_per_fu": 0.00,
  "sg": "Cmcm",
  "formation_enthalpy_0k_ev_per_atom": 0.128
}